Entry 1:
An optimized crystal structure of Pd2AuO. Source: Alexandria, functional PBE-GGA.

## Properties
**Magnetic moment**: 0.0 μB per formula unit
**Symmetry**: No. 122
**DOS at the Fermi energy**: 0.524 states/eV per atom
**Energy relative to the elements, uncorrected**: 0.19 eV per atom

Cell lengths 4.981, 4.981, 7.002 Å; angles 69.17, 69.17, 90.00 degrees
Element x y z (fractional)
1 Au 0.000 0.000 0.000
2 Au 0.750 0.250 0.500
3 O 0.500 0.500 0.000
4 O 0.250 0.750 0.500
5 Pd 0.454 0.125 0.250
6 Pd 0.296 0.625 0.250
7 Pd 0.375 0.546 0.750
8 Pd 0.875 0.704 0.750

Entry 2:
An optimized crystal structure of PdAu3O. Source: Alexandria, functional PBE-GGA.

## Properties
**Magnetic moment**: 0.0 μB per formula unit
**Symmetry**: No. 221
**DOS at the Fermi energy**: 3.858 states/eV per atom
**Energy relative to the elements, uncorrected**: 1.44 eV per atom

Cell lengths 5.030, 5.030, 5.030 Å; angles 90.00, 90.00, 90.00 degrees
Element x y z (fractional)
1 Au 0.000 0.500 0.000
2 Au 0.000 0.000 0.500
3 Au 0.500 0.000 0.000
4 O 0.500 0.500 0.500
5 Pd 0.000 0.000 0.000

Entry 3:
An optimized crystal structure of PdAuO. Source: Alexandria, functional PBE-GGA.

## Properties
**Magnetic moment**: 0.0 μB per formula unit
**Symmetry**: No. 131
**DOS at the Fermi energy**: 0.556 states/eV per atom
**Energy relative to the elements, uncorrected**: 0.11 eV per atom

Cell lengths 3.935, 6.645, 6.645 Å; angles 90.00, 90.00, 90.00 degrees
Element x y z (fractional)
1 O 0.000 0.500 0.727
2 O 0.500 0.273 0.500
3 O 0.500 0.727 0.500
4 O 0.000 0.500 0.273
5 Pd 0.000 0.794 0.500
6 Pd 0.500 0.500 0.794
7 Pd 0.500 0.500 0.206
8 Pd 0.000 0.206 0.500
9 Au 0.000 0.782 0.000
10 Au 0.500 0.000 0.782
11 Au 0.500 0.000 0.218
12 Au 0.000 0.218 0.000

Entry 4:
An optimized crystal structure of Pd3AuO6. Source: Alexandria, functional PBE-GGA.

## Properties
**Magnetic moment**: 0.0 μB per formula unit
**Symmetry**: No. 65
**DOS at the Fermi energy**: 0.306 states/eV per atom
**Energy relative to the elements, uncorrected**: -0.29 eV per atom

Cell lengths 3.168, 6.356, 6.356 Å; angles 107.54, 90.00, 90.00 degrees
Element x y z (fractional)
1 Pd 0.500 0.500 0.000
2 Pd 0.000 0.000 0.000
3 Pd 0.500 0.000 0.500
4 Au 0.000 0.500 0.500
5 O 0.000 0.068 0.327
6 O 0.000 0.932 0.673
7 O 0.000 0.327 0.068
8 O 0.000 0.673 0.932
9 O 0.500 0.647 0.353
10 O 0.500 0.353 0.647

- What is the DOS at the Fermi energy in the first record?
  0.524 states/eV per atom

- What is the DOS at the Fermi energy in the third record?
  0.556 states/eV per atom

- Which value of energy relative to the elements, uncorrected does entry 1 give?
  0.19 eV per atom